## a
Material: CrCoNi4
Method: DFT, PBE
State: optimized geometry

Geometry as CIF:
```
data_CrCoNi4
_cell_length_a 4.855
_cell_length_b 13.674
_cell_length_c 4.762
_cell_angle_alpha 90.00
_cell_angle_beta 119.95
_cell_angle_gamma 90.00
_space_group_name_H-M_alt 'C 1 2/c 1'
_space_group_IT_number 15
_space_group_name_Hall '-C 2yc'
loop_
_atom_site_label
_atom_site_fract_x
_atom_site_fract_y
_atom_site_fract_z
_atom_site_occupancy
Cr1 0.000 0.125 0.250 1
Co1 0.000 0.375 0.750 1
Ni1 0.248 0.467 0.249 1
Ni2 0.249 0.217 0.751 1
```

## b
Material: CrCoNi4
Method: DFT, PBE
State: optimized geometry

Geometry as CIF:
```
data_CrCoNi4
_cell_length_a 6.564
_cell_length_b 6.564
_cell_length_c 6.564
_cell_angle_alpha 90.00
_cell_angle_beta 90.00
_cell_angle_gamma 90.00
_space_group_name_H-M_alt 'F -4 3 m'
_space_group_IT_number 216
_space_group_name_Hall 'F -4 2 3'
loop_
_atom_site_label
_atom_site_fract_x
_atom_site_fract_y
_atom_site_fract_z
_atom_site_occupancy
Cr1 0.000 0.000 0.000 1
Co1 0.250 0.250 0.250 1
Ni1 0.125 0.125 0.625 1
```

Least stable: b

## a
Material: CrCo4Ni
Method: DFT, PBE
State: optimized geometry

Geometry as CIF:
```
data_CrCo4Ni
_cell_length_a 2.480
_cell_length_b 2.480
_cell_length_c 10.652
_cell_angle_alpha 90.00
_cell_angle_beta 90.00
_cell_angle_gamma 90.00
_space_group_name_H-M_alt 'P 4/m m m'
_space_group_IT_number 123
_space_group_name_Hall '-P 4 2'
loop_
_atom_site_label
_atom_site_fract_x
_atom_site_fract_y
_atom_site_fract_z
_atom_site_occupancy
Cr1 0.000 0.000 0.000 1
Co1 0.000 0.000 0.332 1
Co2 0.500 0.500 0.170 1
Ni1 0.500 0.500 0.500 1
```

## b
Material: CrCo4Ni
Method: DFT, PBE
State: optimized geometry

Geometry as CIF:
```
data_CrCo4Ni
_cell_length_a 6.542
_cell_length_b 6.542
_cell_length_c 6.542
_cell_angle_alpha 90.00
_cell_angle_beta 90.00
_cell_angle_gamma 90.00
_space_group_name_H-M_alt 'F -4 3 m'
_space_group_IT_number 216
_space_group_name_Hall 'F -4 2 3'
loop_
_atom_site_label
_atom_site_fract_x
_atom_site_fract_y
_atom_site_fract_z
_atom_site_occupancy
Cr1 0.000 0.000 0.000 1
Co1 0.125 0.125 0.625 1
Ni1 0.250 0.250 0.250 1
```

Least stable: b

## a
Material: CrCo3Ni2
Method: DFT, PBE
State: optimized geometry

Geometry as CIF:
```
data_CrCo3Ni2
_cell_length_a 4.313
_cell_length_b 7.469
_cell_length_c 8.244
_cell_angle_alpha 90.00
_cell_angle_beta 100.01
_cell_angle_gamma 90.00
_space_group_name_H-M_alt 'C 1 2/m 1'
_space_group_IT_number 12
_space_group_name_Hall '-C 2y'
loop_
_atom_site_label
_atom_site_fract_x
_atom_site_fract_y
_atom_site_fract_z
_atom_site_occupancy
Cr1 0.000 0.166 0.000 1
Co1 0.246 0.000 0.247 1
Co2 0.249 0.168 0.751 1
Ni1 0.000 0.000 0.500 1
Ni2 0.000 0.333 0.500 1
Ni3 0.000 0.500 0.000 1
```

## b
Material: CrCo3Ni2
Method: DFT, PBE
State: optimized geometry

Geometry as CIF:
```
data_CrCo3Ni2
_cell_length_a 4.972
_cell_length_b 4.985
_cell_length_c 6.599
_cell_angle_alpha 79.71
_cell_angle_beta 67.95
_cell_angle_gamma 60.14
_space_group_name_H-M_alt 'P -1'
_space_group_IT_number 2
_space_group_name_Hall '-P 1'
loop_
_atom_site_label
_atom_site_fract_x
_atom_site_fract_y
_atom_site_fract_z
_atom_site_occupancy
Cr1 0.084 0.168 0.165 1
Co1 0.082 0.669 0.166 1
Co2 0.251 0.000 0.500 1
Co3 0.416 0.331 0.834 1
Ni1 0.248 0.500 0.504 1
Ni2 0.417 0.830 0.837 1
```

Least stable: a